[1]
DFT (GGA-PBE) results for a relaxed structure of Cs4NpAg3Br12.

Lattice parameters (Å, degrees): 9.778 9.778 9.778 109.47 109.47 109.47
Element x y z (fractional)
Cs 0.000 0.000 0.500
Cs 0.000 0.500 0.000
Cs 0.500 0.000 0.000
Cs 0.500 0.500 0.500
Np 0.000 0.000 0.000
Ag 0.000 0.500 0.500
Ag 0.500 0.000 0.500
Ag 0.500 0.500 0.000
Br 0.000 0.242 0.242
Br 0.000 0.758 0.758
Br 0.242 0.000 0.242
Br 0.242 0.242 0.000
Br 0.250 0.500 0.750
Br 0.250 0.750 0.500
Br 0.500 0.250 0.750
Br 0.500 0.750 0.250
Br 0.750 0.250 0.500
Br 0.750 0.500 0.250
Br 0.758 0.000 0.758
Br 0.758 0.758 0.000

Values from the calculation:
DOS at the Fermi energy   0.884 states/eV per atom
VASP energy   -0.125 hartree per atom
Space group   No. 229
Raw formation energy   -1.160 eV per atom

[2]
DFT (GGA-PBE) results for a relaxed structure of CsNpAg2Br6.

Lattice parameters (Å, degrees): 9.980 9.980 9.508 108.56 108.56 78.03
Element x y z (fractional)
Cs 0.199 0.801 0.750
Cs 0.801 0.199 0.250
Np 0.245 0.755 0.250
Np 0.755 0.245 0.750
Ag 0.125 0.412 0.080
Ag 0.412 0.125 0.580
Ag 0.588 0.875 0.420
Ag 0.875 0.588 0.920
Br 0.020 0.171 0.975
Br 0.086 0.600 0.342
Br 0.171 0.020 0.475
Br 0.305 0.515 0.003
Br 0.400 0.914 0.158
Br 0.485 0.695 0.497
Br 0.515 0.305 0.503
Br 0.600 0.086 0.842
Br 0.695 0.485 0.997
Br 0.829 0.980 0.525
Br 0.914 0.400 0.658
Br 0.980 0.829 0.025

Values from the calculation:
DOS at the Fermi energy   0.581 states/eV per atom
VASP energy   -0.146 hartree per atom
Space group   No. 15
Raw formation energy   -1.025 eV per atom

[3]
DFT (GGA-PBE) results for a relaxed structure of Cs3NpAg2Br9.

Lattice parameters (Å, degrees): 8.075 8.075 9.957 90.00 90.00 120.00
Element x y z (fractional)
Cs 0.000 0.000 0.000
Cs 0.333 0.667 0.708
Cs 0.667 0.333 0.292
Np 0.000 0.000 0.500
Ag 0.333 0.667 0.144
Ag 0.667 0.333 0.856
Br 0.000 0.500 0.000
Br 0.163 0.327 0.339
Br 0.163 0.837 0.339
Br 0.327 0.163 0.661
Br 0.500 0.000 0.000
Br 0.500 0.500 0.000
Br 0.673 0.837 0.339
Br 0.837 0.163 0.661
Br 0.837 0.673 0.661

Values from the calculation:
DOS at the Fermi energy   0.382 states/eV per atom
VASP energy   -0.135 hartree per atom
Space group   No. 164
Raw formation energy   -1.247 eV per atom

[4]
DFT (GGA-PBE) results for a relaxed structure of Cs2NpAg3Br12.

Lattice parameters (Å, degrees): 11.243 11.243 11.243 50.40 50.40 50.40
Element x y z (fractional)
Cs 0.083 0.083 0.083
Cs 0.917 0.917 0.917
Np 0.500 0.500 0.500
Ag 0.000 0.500 0.500
Ag 0.500 0.000 0.500
Ag 0.500 0.500 0.000
Br 0.174 0.174 0.581
Br 0.174 0.581 0.174
Br 0.180 0.582 0.582
Br 0.418 0.418 0.820
Br 0.418 0.820 0.418
Br 0.419 0.826 0.826
Br 0.581 0.174 0.174
Br 0.582 0.180 0.582
Br 0.582 0.582 0.180
Br 0.820 0.418 0.418
Br 0.826 0.419 0.826
Br 0.826 0.826 0.419

Values from the calculation:
DOS at the Fermi energy   0.661 states/eV per atom
VASP energy   -0.120 hartree per atom
Space group   No. 166
Raw formation energy   -0.873 eV per atom

[5]
DFT (GGA-PBE) results for a relaxed structure of Cs2NpAgBr6.

Lattice parameters (Å, degrees): 8.020 8.020 6.892 90.00 90.00 120.00
Element x y z (fractional)
Cs 0.333 0.667 0.234
Cs 0.667 0.333 0.766
Np 0.000 0.000 0.500
Ag 0.000 0.000 0.000
Br 0.168 0.337 0.746
Br 0.168 0.832 0.746
Br 0.337 0.168 0.254
Br 0.663 0.832 0.746
Br 0.832 0.168 0.254
Br 0.832 0.663 0.254

Values from the calculation:
DOS at the Fermi energy   0.623 states/eV per atom
VASP energy   -0.151 hartree per atom
Space group   No. 164
Raw formation energy   -1.356 eV per atom

[6]
DFT (GGA-PBE) results for a relaxed structure of CsAgBrO2.

Lattice parameters (Å, degrees): 4.620 4.620 5.355 90.00 90.00 90.00
Element x y z (fractional)
Cs 0.000 0.000 0.000
Ag 0.500 0.500 0.500
Br 0.500 0.500 0.000
O 0.000 0.500 0.500
O 0.500 0.000 0.500

Values from the calculation:
DOS at the Fermi energy   1.162 states/eV per atom
VASP energy   -0.117 hartree per atom
Space group   No. 123
Raw formation energy   -0.113 eV per atom

[7]
DFT (GGA-PBE) results for a relaxed structure of CsAg2OsBr8.

Lattice parameters (Å, degrees): 6.737 7.476 8.922 76.95 83.80 88.93
Element x y z (fractional)
Cs 0.000 0.000 0.000
Ag 0.491 0.515 0.805
Ag 0.509 0.485 0.195
Os 0.000 0.500 0.500
Br 0.073 0.515 0.768
Br 0.179 0.794 0.395
Br 0.317 0.325 0.468
Br 0.489 0.221 0.032
Br 0.511 0.779 0.968
Br 0.683 0.675 0.532
Br 0.821 0.206 0.605
Br 0.927 0.485 0.232

Values from the calculation:
DOS at the Fermi energy   0.391 states/eV per atom
VASP energy   -0.113 hartree per atom
Space group   No. 2
Raw formation energy   -0.477 eV per atom

[8]
DFT (GGA-PBE) results for a relaxed structure of Cs2AgOsBr6.

Lattice parameters (Å, degrees): 7.694 7.694 7.694 60.00 60.00 60.00
Element x y z (fractional)
Cs 0.250 0.250 0.250
Cs 0.750 0.750 0.750
Ag 0.000 0.000 0.000
Os 0.500 0.500 0.500
Br 0.265 0.265 0.735
Br 0.265 0.735 0.265
Br 0.265 0.735 0.735
Br 0.735 0.265 0.265
Br 0.735 0.265 0.735
Br 0.735 0.735 0.265

Values from the calculation:
DOS at the Fermi energy   1.326 states/eV per atom
VASP energy   -0.122 hartree per atom
Space group   No. 225
Raw formation energy   -0.750 eV per atom

[9]
DFT (GGA-PBE) results for a relaxed structure of CsAg2OsBr.

Lattice parameters (Å, degrees): 5.993 5.993 5.400 90.00 90.00 90.00
Element x y z (fractional)
Cs 0.000 0.000 0.000
Ag 0.000 0.500 0.000
Ag 0.500 0.000 0.000
Os 0.000 0.000 0.500
Br 0.500 0.500 0.500

Values from the calculation:
DOS at the Fermi energy   0.671 states/eV per atom
VASP energy   -0.067 hartree per atom
Space group   No. 123
Raw formation energy   2.081 eV per atom

[10]
DFT (GGA-PBE) results for a relaxed structure of CsAgPBr6.

Lattice parameters (Å, degrees): 7.059 7.059 8.064 90.00 90.00 120.00
Element x y z (fractional)
Cs 0.000 0.000 0.000
Ag 0.667 0.333 0.500
P 0.333 0.667 0.500
Br 0.022 0.389 0.310
Br 0.022 0.633 0.690
Br 0.367 0.389 0.690
Br 0.367 0.978 0.310
Br 0.611 0.633 0.310
Br 0.611 0.978 0.690

Values from the calculation:
DOS at the Fermi energy   1.486 states/eV per atom
VASP energy   -0.098 hartree per atom
Space group   No. 149
Raw formation energy   -0.535 eV per atom

[11]
DFT (GGA-PBE) results for a relaxed structure of Cs2AgPBr6.

Lattice parameters (Å, degrees): 7.747 7.747 7.747 60.00 60.00 60.00
Element x y z (fractional)
Cs 0.250 0.250 0.250
Cs 0.750 0.750 0.750
Ag 0.000 0.000 0.000
P 0.500 0.500 0.500
Br 0.262 0.262 0.738
Br 0.262 0.738 0.262
Br 0.262 0.738 0.738
Br 0.738 0.262 0.262
Br 0.738 0.262 0.738
Br 0.738 0.738 0.262

Values from the calculation:
DOS at the Fermi energy   0.000 states/eV per atom
VASP energy   -0.107 hartree per atom
Space group   No. 225
Raw formation energy   -0.904 eV per atom

[12]
DFT (GGA-PBE) results for a relaxed structure of CsPaAg2Br8.

Lattice parameters (Å, degrees): 6.996 6.996 10.923 94.65 94.65 69.11
Element x y z (fractional)
Cs 0.000 0.000 0.000
Pa 0.000 0.000 0.500
Ag 0.266 0.266 0.722
Ag 0.734 0.734 0.278
Br 0.222 0.743 0.322
Br 0.240 0.240 0.486
Br 0.257 0.778 0.678
Br 0.312 0.312 0.948
Br 0.688 0.688 0.052
Br 0.743 0.222 0.322
Br 0.760 0.760 0.514
Br 0.778 0.257 0.678

Values from the calculation:
VASP energy   -0.130 hartree per atom
Space group   No. 12
Raw formation energy   -1.096 eV per atom